1.
VASP calculation (PBE-GGA) on a relaxed structure of Pm3AlNi3.

a = 5.562 Å, b = 5.562 Å, c = 13.501 Å
α = 90.00°, β = 90.00°, γ = 136.67°
Atoms (fractional coordinates):
Pm: 0.001 0.999 0.750
Pm: 0.283 0.717 0.604
Pm: 0.283 0.717 0.896
Pm: 0.717 0.283 0.104
Pm: 0.717 0.283 0.396
Pm: 0.999 0.001 0.250
Al: 0.000 0.000 0.000
Al: 0.000 0.000 0.500
Ni: 0.301 0.699 0.250
Ni: 0.428 0.572 0.088
Ni: 0.428 0.572 0.412
Ni: 0.572 0.428 0.588
Ni: 0.572 0.428 0.912
Ni: 0.699 0.301 0.750

* crystal system: orthorhombic
* total magnetic moment: 0.00 μB per formula unit
* formation enthalpy at 0 K: -0.434 eV per atom
* distance to the lowest polymorph of the same formula: 0.0 meV/atom
* symmetry: Cmcm (63)
* mass density: 7.40 Mg/m³

2.
VASP calculation (PBE-GGA) on a relaxed structure of Ta2Ir2Au.

a = 7.850 Å, b = 7.850 Å, c = 2.857 Å
α = 90.00°, β = 90.00°, γ = 90.00°
Atoms (fractional coordinates):
Ta: 0.151 0.349 0.000
Ta: 0.349 0.849 0.000
Ta: 0.651 0.151 0.000
Ta: 0.849 0.651 0.000
Ir: 0.139 0.639 0.500
Ir: 0.361 0.139 0.500
Ir: 0.639 0.861 0.500
Ir: 0.861 0.361 0.500
Au: 0.000 0.000 0.000
Au: 0.500 0.500 0.000

* crystal system: tetragonal
* total magnetic moment: 0.00 μB per formula unit
* formation enthalpy at 0 K: -0.265 eV per atom
* distance to the lowest polymorph of the same formula: 149.8 meV/atom
* symmetry: P4/mbm (127)
* mass density: 17.79 Mg/m³

3.
VASP calculation (PBE-GGA) on a relaxed structure of SrBe2Se.

a = 6.366 Å, b = 6.342 Å, c = 4.071 Å
α = 71.63°, β = 71.00°, γ = 37.37°
Atoms (fractional coordinates):
Sr: 0.000 0.000 0.000
Be: 0.000 0.500 0.000
Be: 0.500 0.000 0.500
Se: 0.500 0.500 0.500

* crystal system: orthorhombic
* total magnetic moment: 0.00 μB per formula unit
* symmetry: Fmmm (69)
* mass density: 3.27 Mg/m³
* formation energy without anion corrections: 0.304 eV per atom

4.
VASP calculation (PBE-GGA) on a relaxed structure of CaCeSiHg.

a = 5.232 Å, b = 5.232 Å, c = 5.232 Å
α = 60.00°, β = 60.00°, γ = 60.00°
Atoms (fractional coordinates):
Ca: 0.000 0.000 0.000
Ce: 0.500 0.500 0.500
Si: 0.250 0.250 0.250
Hg: 0.750 0.750 0.750

* crystal system: cubic
* total magnetic moment: 1.06 μB per formula unit
* symmetry: F-43m (216)
* mass density: 6.70 Mg/m³
* formation energy without anion corrections: -0.403 eV per atom

5.
VASP calculation (PBE-GGA) on a relaxed structure of Er2Cu3Pd.

a = 3.491 Å, b = 4.309 Å, c = 7.392 Å
α = 90.00°, β = 90.00°, γ = 90.00°
Atoms (fractional coordinates):
Er: 0.000 0.000 0.000
Er: 0.000 0.500 0.495
Cu: 0.500 0.000 0.676
Cu: 0.500 0.500 0.152
Cu: 0.500 0.500 0.826
Pd: 0.500 0.000 0.333

* crystal system: orthorhombic
* total magnetic moment: 0.00 μB per formula unit
* formation enthalpy at 0 K: -0.430 eV per atom
* symmetry: Pmm2 (25)
* mass density: 9.43 Mg/m³

6.
VASP calculation (PBE-GGA) on a relaxed structure of Cl.

a = 6.676 Å, b = 6.676 Å, c = 6.676 Å
α = 109.47°, β = 109.47°, γ = 109.47°
Atoms (fractional coordinates):
Cl: 0.250 0.500 0.750
Cl: 0.250 0.750 0.500
Cl: 0.500 0.250 0.750
Cl: 0.500 0.750 0.250
Cl: 0.750 0.250 0.500
Cl: 0.750 0.500 0.250

* crystal system: cubic
* total magnetic moment: 0.00 μB per formula unit
* distance to the lowest polymorph of the same formula: 737.3 meV/atom
* symmetry: Im-3m (229)
* mass density: 1.54 Mg/m³
* formation energy without anion corrections: 0.737 eV per atom

7.
VASP calculation (PBE-GGA) on a relaxed structure of CeSm3Dy2.

a = 6.958 Å, b = 16.163 Å, c = 3.507 Å
α = 90.00°, β = 90.00°, γ = 90.00°
Atoms (fractional coordinates):
Ce: 0.000 0.000 0.000
Ce: 0.500 0.500 0.500
Sm: 0.000 0.500 0.500
Sm: 0.249 0.157 0.500
Sm: 0.251 0.657 0.000
Sm: 0.500 0.000 0.000
Sm: 0.749 0.343 0.000
Sm: 0.751 0.843 0.500
Dy: 0.247 0.846 0.500
Dy: 0.253 0.346 0.000
Dy: 0.747 0.654 0.000
Dy: 0.753 0.154 0.500

* crystal system: orthorhombic
* total magnetic moment: 0.46 μB per formula unit
* formation enthalpy at 0 K: 0.171 eV per atom
* symmetry: Pnnm (58)
* mass density: 7.71 Mg/m³

8.
VASP calculation (PBE-GGA) on a relaxed structure of BaPtSe.

a = 4.943 Å, b = 4.943 Å, c = 6.758 Å
α = 90.00°, β = 90.00°, γ = 90.00°
Atoms (fractional coordinates):
Ba: 0.250 0.250 0.166
Ba: 0.750 0.750 0.834
Pt: 0.250 0.250 0.660
Pt: 0.750 0.750 0.340
Se: 0.250 0.750 0.500
Se: 0.750 0.250 0.500

* crystal system: tetragonal
* total magnetic moment: 0.00 μB per formula unit
* symmetry: P4/nmm (129)
* mass density: 8.27 Mg/m³
* formation energy without anion corrections: -0.667 eV per atom